# 1
## AlNiPt2 (PBE)

Data for crystalline AlNiPt2 at its relaxed geometry.

Cell: 5.625 5.637 7.039 Å, 90.00 90.00 90.00°
Space group Fmmm (No. 69)
Unique sites:
Al 0.000 0.000 0.000 [4 per cell]
Ni 0.000 0.000 0.500 [4 per cell]
Pt 0.250 0.250 0.250 [8 per cell]

Output
D(E_F), states/eV per cell: 19.722
E, eV/f.u.: -24.22

***

# 2
## K3CuTe2 (PBE)

Data for crystalline K3CuTe2 at its relaxed geometry.

Cell: 13.190 4.675 14.077 Å, 90.00 90.00 90.00°
Space group Pnma (No. 62)
Unique sites:
K 0.064 0.250 0.115 [4 per cell]
K 0.119 0.750 0.554 [4 per cell]
K 0.191 0.250 0.800 [4 per cell]
Cu 0.133 0.250 0.368 [4 per cell]
Te 0.048 0.750 0.315 [4 per cell]
Te 0.204 0.750 0.976 [4 per cell]

Output
Raw formation energy, eV/atom: -0.774

***

# 3
## PmThGa3 (PBE)

Data for crystalline PmThGa3 at its relaxed geometry.

Cell: 4.315 26.293 4.202 Å, 90.00 90.00 90.00°
Space group Cmcm (No. 63)
Unique sites:
Pm 0.000 0.072 0.250 [4 per cell]
Th 0.000 0.205 0.750 [4 per cell]
Ga 0.000 0.327 0.750 [4 per cell]
Ga 0.000 0.383 0.250 [4 per cell]
Ga 0.000 0.477 0.250 [4 per cell]

Output
D(E_F), states/eV per cell: 14.852
E, eV/f.u.: -24.33

***

# 4
## Rb3CaTh2Te6 (PBE)

Data for crystalline Rb3CaTh2Te6 at its relaxed geometry.

Cell: 7.984 13.826 9.011 Å, 90.00 107.17 90.00°
Space group C2/m (No. 12)
Unique sites:
Rb 0.000 0.000 0.000 [2 per cell]
Rb 0.000 0.335 0.000 [4 per cell]
Ca 0.000 0.500 0.500 [2 per cell]
Th 0.000 0.167 0.500 [4 per cell]
Te 0.230 0.000 0.705 [4 per cell]
Te 0.238 0.331 0.706 [8 per cell]

Output
Raw formation energy, eV/atom: -1.276
D(E_F), states/eV per cell: 11.981

***

# 5
## SrCdAs2Se (PBE)

Data for crystalline SrCdAs2Se at its relaxed geometry.

Cell: 5.151 5.151 5.457 Å, 90.00 90.00 90.00°
Space group P4/mmm (No. 123)
Unique sites:
Sr 0.000 0.000 0.000 [1 per cell]
Cd 0.500 0.500 0.500 [1 per cell]
As 0.000 0.500 0.500 [2 per cell]
Se 0.500 0.500 0.000 [1 per cell]

Output
Distance to the lowest polymorph of the same formula, kJ/mol of formula units: 0
Raw formation energy, eV/atom: -0.062
D(E_F), states/eV per cell: 5.959

***

# 6
## Ge3HN (PBE)

Data for crystalline Ge3HN at its relaxed geometry.

Cell: 4.395 4.395 4.395 Å, 90.00 90.00 90.00°
Space group Pm-3m (No. 221)
Unique sites:
Ge 0.000 0.000 0.500 [3 per cell]
H 0.500 0.500 0.500 [1 per cell]
N 0.000 0.000 0.000 [1 per cell]

Output
Distance to the lowest polymorph of the same formula, kJ/mol of formula units: 0
D(E_F), states/eV per cell: 2.801

***

# 7
## Ag2AsPt (PBE)

Data for crystalline Ag2AsPt at its relaxed geometry.

Cell: 3.481 4.559 9.076 Å, 90.00 90.00 90.00°
Space group Imm2 (No. 44)
Unique sites:
Ag 0.000 0.000 0.000 [2 per cell]
Ag 0.000 0.500 0.217 [2 per cell]
As 0.000 0.500 0.769 [2 per cell]
Pt 0.000 0.000 0.459 [2 per cell]

Output
D(E_F), states/eV per cell: 3.977
E, eV/f.u.: -16.33

***

# 8
## ZrU3S6 (PBE)

Data for crystalline ZrU3S6 at its relaxed geometry.

Cell: 11.8613 11.8613 11.1415 Å, 90.00 90.00 120.00°
Space group R-3 (No. 148, hexagonal axes)
Unique sites:
Zr 0.0000 0.0000 0.0000 [3 per cell]
Zr 0.0000 0.0000 0.5000 [3 per cell]
U 0.0501 0.7699 0.1480 [18 per cell]
S 0.0323 0.8236 0.8923 [18 per cell]
S 0.0533 0.8499 0.3798 [18 per cell]

Output
Distance to the lowest polymorph of the same formula, kJ/mol of formula units: 68
Raw formation energy, eV/atom: -1.381
D(E_F), states/eV per cell: 123.007